Record 1
! YTmGa4 PBE optimized geometry; values from VASP
! Crystal system: hexagonal
! Formation energy, eV per atom: -0.617
! E above lowest polymorph, meV/atom: 8.1
&SYSTEM
  ibrav = 0, nat = 6, ntyp = 3
/
ATOMIC_SPECIES
Y 88.91 Y.upf
Tm 168.93 Tm.upf
Ga 69.72 Ga.upf
ATOMIC_POSITIONS angstrom
Y 0.000 0.000 3.739
Tm 0.000 0.000 0.000
Ga 0.000 2.498 1.832
Ga 0.000 2.498 5.646
Ga 2.163 1.249 1.832
Ga 2.163 1.249 5.646
CELL_PARAMETERS angstrom
4.326 0.000 0.000
-2.163 3.747 0.000
0.000 0.000 7.478

Record 2
! YTm3Ga2 PBE optimized geometry; values from VASP
! Crystal system: orthorhombic
! Formation energy, eV per atom: -0.439
! E above lowest polymorph, meV/atom: 0.0
&SYSTEM
  ibrav = 0, nat = 12, ntyp = 3
/
ATOMIC_SPECIES
Y 88.91 Y.upf
Tm 168.93 Tm.upf
Ga 69.72 Ga.upf
ATOMIC_POSITIONS angstrom
Y -4.562 -4.604 1.776
Y -3.607 -1.495 2.894
Tm -3.358 -6.885 5.428
Tm -1.419 -5.305 -3.241
Tm -3.659 -3.542 -1.507
Tm -4.849 -3.908 5.208
Tm -1.349 -3.227 1.113
Tm -3.089 -7.610 2.044
Ga -5.700 -6.994 3.488
Ga -2.929 -0.940 -0.133
Ga -2.221 -4.491 3.732
Ga -2.091 -5.844 -0.215
CELL_PARAMETERS angstrom
-4.508 1.640 -0.709
-1.320 -5.264 -3.776
-2.898 -4.697 7.561

Record 3
! Y2Tm3Ga4 PBE optimized geometry; values from VASP
! Crystal system: monoclinic
! Formation energy, eV per atom: -0.601
&SYSTEM
  ibrav = 0, nat = 18, ntyp = 3
/
ATOMIC_SPECIES
Y 88.91 Y.upf
Tm 168.93 Tm.upf
Ga 69.72 Ga.upf
ATOMIC_POSITIONS angstrom
Y -2.014 -4.272 0.681
Y -1.372 -9.908 -1.829
Y 1.180 -7.439 -3.293
Y 0.538 -1.803 -0.784
Tm 2.694 -4.211 -2.429
Tm -2.508 -2.772 -2.585
Tm -0.931 -8.095 2.010
Tm -2.390 -6.180 -3.119
Tm 0.097 -3.616 -4.623
Tm 1.556 -5.530 0.506
Ga -3.062 -6.283 2.689
Ga -2.732 -4.345 -5.310
Ga 2.229 -5.427 -5.301
Ga 1.898 -7.366 2.697
Ga -4.352 -4.751 -1.350
Ga -0.653 -7.041 -0.788
Ga 3.518 -6.959 -1.262
Ga -0.181 -4.670 -1.824
CELL_PARAMETERS angstrom
-6.222 -3.289 2.245
1.207 -2.256 -7.414
4.181 -6.166 2.557

Record 4
! YTmGa4 PBE optimized geometry; values from VASP
! Crystal system: orthorhombic
! Formation energy, eV per atom: -0.625
! E above lowest polymorph, meV/atom: 0.0
&SYSTEM
  ibrav = 0, nat = 6, ntyp = 3
/
ATOMIC_SPECIES
Y 88.91 Y.upf
Tm 168.93 Tm.upf
Ga 69.72 Ga.upf
ATOMIC_POSITIONS angstrom
Y -1.905 -0.024 -1.050
Tm -4.015 -2.535 -2.895
Ga -1.114 -1.717 -3.518
Ga -5.386 -3.507 -5.516
Ga -6.664 -4.146 -3.184
Ga -3.056 -2.689 0.026
CELL_PARAMETERS angstrom
-3.733 0.884 -1.803
-0.565 -2.642 -5.108
-3.811 -4.266 0.816